Entry from the Alexandria database: TmMoBrO4 at its PBEsol-relaxed geometry (meta-GGA SCAN).

a = 6.8406 Å, b = 7.1398 Å, c = 10.6547 Å
α = 102.46°, β = 108.11°, γ = 95.36°
Positions (direct):
1 Tm 0.1220 0.3340 0.2335
2 Tm 0.1631 0.0979 0.7304
3 Tm 0.8369 0.9021 0.2696
4 Tm 0.8780 0.6660 0.7665
5 Mo 0.2261 0.8167 0.1335
6 Mo 0.2678 0.5846 0.6259
7 Mo 0.7322 0.4154 0.3741
8 Mo 0.7739 0.1833 0.8665
9 Br 0.2369 0.9865 0.4797
10 Br 0.3077 0.2798 0.0143
11 Br 0.6923 0.7202 0.9857
12 Br 0.7631 0.0135 0.5203
13 O 0.0929 0.0111 0.1870
14 O 0.1530 0.6265 0.1993
15 O 0.1540 0.7790 0.7043
16 O 0.1553 0.7361 0.9563
17 O 0.1650 0.5015 0.4462
18 O 0.2273 0.3901 0.6958
19 O 0.4639 0.3452 0.3299
20 O 0.4964 0.8908 0.2032
21 O 0.5036 0.1092 0.7968
22 O 0.5361 0.6548 0.6701
23 O 0.7727 0.6099 0.3042
24 O 0.8350 0.4985 0.5538
25 O 0.8447 0.2639 0.0437
26 O 0.8460 0.2210 0.2957
27 O 0.8470 0.3735 0.8007
28 O 0.9071 0.9889 0.8130

Output
For the uncorrected formation energy, the calculation gives -2.65 eV/atom. As for the density of states at the Fermi level: 0.00 states/eV/atom. The density is 5.7 g/cm3. Its symmetry is P-1.

***

Entry from the Alexandria database: YMgCd2 at its PBEsol-relaxed geometry (meta-GGA SCAN).

a = 4.8628 Å, b = 4.8628 Å, c = 3.9112 Å
α = 90.00°, β = 90.00°, γ = 90.00°
Positions (direct):
1 Y 0.0000 0.0000 0.0000
2 Mg 0.5000 0.5000 0.0000
3 Cd 0.0000 0.5000 0.5000
4 Cd 0.5000 0.0000 0.5000

Output
For the calculated formation energy, the calculation gives -355 meV/atom. As for the density of states at the Fermi level: 0.59 states/eV/atom. The density is 6.1 g/cm3. Its symmetry is P4/mmm.

***

Entry from the Alexandria database: SrLi2Hg2 at its PBEsol-relaxed geometry (meta-GGA SCAN).

a = 4.2847 Å, b = 4.2847 Å, c = 13.1255 Å
α = 90.00°, β = 90.00°, γ = 90.00°
Positions (direct):
1 Sr 0.0000 0.0000 0.0000
2 Sr 0.5000 0.5000 0.5000
3 Li 0.0000 0.5000 0.2500
4 Li 0.0000 0.5000 0.7500
5 Li 0.5000 0.0000 0.2500
6 Li 0.5000 0.0000 0.7500
7 Hg 0.0000 0.0000 0.3846
8 Hg 0.0000 0.0000 0.6154
9 Hg 0.5000 0.5000 0.1154
10 Hg 0.5000 0.5000 0.8846

Output
For the calculated formation energy, the calculation gives -512 meV/atom. As for the density of states at the Fermi level: 0.55 states/eV/atom. The density is 6.9 g/cm3. Its symmetry is I4/mmm. As for the distance to the lowest polymorph of the same formula: 0.00 eV per formula unit.

***

Entry from the Alexandria database: Si2WCl at its PBEsol-relaxed geometry (meta-GGA SCAN).

a = 3.0812 Å, b = 3.0812 Å, c = 22.9182 Å
α = 90.00°, β = 90.00°, γ = 120.00°
Positions (direct):
1 Si 0.0000 0.0000 0.2441
2 Si 0.0000 0.0000 0.7559
3 Si 0.3333 0.6667 0.4225
4 Si 0.3333 0.6667 0.9108
5 Si 0.6667 0.3333 0.0892
6 Si 0.6667 0.3333 0.5775
7 W 0.0000 0.0000 0.5000
8 W 0.3333 0.6667 0.1667
9 W 0.6667 0.3333 0.8333
10 Cl 0.0000 0.0000 0.0000
11 Cl 0.3333 0.6667 0.6667
12 Cl 0.6667 0.3333 0.3333

Output
For the uncorrected formation energy, the calculation gives 0.32 eV/atom. As for the density of states at the Fermi level: 0.60 states/eV/atom. The density is 7.3 g/cm3. Its symmetry is R-3m. As for the distance to the lowest polymorph of the same formula: 0.00 eV per formula unit.

***

Entry from the Alexandria database: BaReAs2 at its PBEsol-relaxed geometry (meta-GGA SCAN).

a = 3.2126 Å, b = 3.2126 Å, c = 7.7348 Å
α = 90.00°, β = 90.00°, γ = 90.00°
Positions (direct):
1 Ba 0.0000 0.0000 0.0000
2 Re 0.0000 0.0000 0.5000
3 As 0.5000 0.5000 0.3143
4 As 0.5000 0.5000 0.6857

Output
For the calculated formation energy, the calculation gives -54 meV/atom. As for the density of states at the Fermi level: 0.78 states/eV/atom. The density is 9.8 g/cm3. Its symmetry is P4/mmm.

***

Entry from the Alexandria database: Y2CdGe2 at its PBEsol-relaxed geometry (meta-GGA SCAN).

a = 7.2060 Å, b = 7.2060 Å, c = 4.1457 Å
α = 90.00°, β = 90.00°, γ = 90.00°
Positions (direct):
1 Y 0.1778 0.3222 0.0000
2 Y 0.3222 0.8222 0.0000
3 Y 0.6778 0.1778 0.0000
4 Y 0.8222 0.6778 0.0000
5 Cd 0.0000 0.0000 0.5000
6 Cd 0.5000 0.5000 0.5000
7 Ge 0.1222 0.6222 0.5000
8 Ge 0.3778 0.1222 0.5000
9 Ge 0.6222 0.8778 0.5000
10 Ge 0.8778 0.3778 0.5000

Output
For the calculated formation energy, the calculation gives -850 meV/atom. As for the density of states at the Fermi level: 0.30 states/eV/atom. The density is 6.7 g/cm3. Its symmetry is P4/mbm.

***

Entry from the Alexandria database: CdHg2Sb at its PBEsol-relaxed geometry (meta-GGA SCAN).

a = 3.2388 Å, b = 3.2388 Å, c = 8.9651 Å
α = 90.00°, β = 90.00°, γ = 90.00°
Positions (direct):
1 Cd 0.0000 0.0000 0.0000
2 Hg 0.0000 0.0000 0.4753
3 Hg 0.5000 0.5000 0.2301
4 Sb 0.5000 0.5000 0.7482

Output
For the uncorrected formation energy, the calculation gives 0.12 eV/atom. As for the density of states at the Fermi level: 0.41 states/eV/atom. The density is 11.2 g/cm3. Its symmetry is P4mm. As for the distance to the lowest polymorph of the same formula: 0.42 eV per formula unit.

***

Entry from the Alexandria database: SrCa7Ti3Mn5O24 at its PBEsol-relaxed geometry (meta-GGA SCAN).

a = 7.5537 Å, b = 7.5537 Å, c = 7.4646 Å
α = 90.04°, β = 90.04°, γ = 89.50°
Positions (direct):
1 Sr 0.0000 0.0000 0.0000
2 Ca 0.0065 0.5088 0.9963
3 Ca 0.0078 0.0078 0.4917
4 Ca 0.4988 0.4988 0.9982
5 Ca 0.5040 0.9962 0.4886
6 Ca 0.5088 0.0065 0.9963
7 Ca 0.5092 0.5092 0.4917
8 Ca 0.9962 0.5040 0.4886
9 Ti 0.2550 0.2550 0.7429
10 Ti 0.2547 0.7524 0.7427
11 Ti 0.7524 0.2547 0.7427
12 Mn 0.2555 0.7524 0.2454
13 Mn 0.2558 0.2558 0.2448
14 Mn 0.7524 0.2555 0.2454
15 Mn 0.7523 0.7523 0.2439
16 Mn 0.7529 0.7529 0.7421
17 O 0.0008 0.7428 0.2081
18 O 0.0024 0.2525 0.2910
19 O 0.0032 0.2542 0.7028
20 O 0.2204 0.7120 0.4889
21 O 0.2226 0.2226 0.0000
22 O 0.2525 0.0024 0.2910
23 O 0.2533 0.5035 0.1969
24 O 0.2542 0.0032 0.7028
25 O 0.2540 0.5043 0.7863
26 O 0.2897 0.7920 0.0005
27 O 0.2939 0.2939 0.4884
28 O 0.5035 0.2533 0.1969
29 O 0.5025 0.7497 0.2894
30 O 0.5043 0.2540 0.7863
31 O 0.5078 0.7530 0.7048
32 O 0.7120 0.2204 0.4889
33 O 0.7147 0.7147 0.9956
34 O 0.7428 0.0008 0.2081
35 O 0.7472 0.9982 0.7769
36 O 0.7497 0.5025 0.2894
37 O 0.7530 0.5078 0.7048
38 O 0.7920 0.2897 0.0005
39 O 0.7921 0.7921 0.4928
40 O 0.9982 0.7472 0.7769

Output
For the uncorrected formation energy, the calculation gives -2.97 eV/atom. The density is 4.6 g/cm3. Its symmetry is Cm.

***

Entry from the Alexandria database: Al2CuH at its PBEsol-relaxed geometry (meta-GGA SCAN).

a = 4.5786 Å, b = 4.5786 Å, c = 10.7306 Å
α = 90.00°, β = 90.00°, γ = 90.00°
Positions (direct):
1 Al 0.1451 0.2500 0.1250
2 Al 0.2500 0.6451 0.3750
3 Al 0.2500 0.8549 0.8750
4 Al 0.3549 0.2500 0.6250
5 Al 0.6451 0.7500 0.6250
6 Al 0.7500 0.1451 0.8750
7 Al 0.7500 0.3549 0.3750
8 Al 0.8549 0.7500 0.1250
9 Cu 0.0000 0.0000 0.5000
10 Cu 0.0000 0.5000 0.7500
11 Cu 0.5000 0.0000 0.2500
12 Cu 0.5000 0.5000 0.0000
13 H 0.0000 0.0000 0.0000
14 H 0.0000 0.5000 0.2500
15 H 0.5000 0.0000 0.7500
16 H 0.5000 0.5000 0.5000

Output
The total energy comes out at -8.165 eV/atom. As for the density of states at the Fermi level: 0.30 states/eV/atom. The density is 3.5 g/cm3. Its symmetry is I-42d.

***

Entry from the Alexandria database: CsSr2HgI at its PBEsol-relaxed geometry (meta-GGA SCAN).

a = 8.1479 Å, b = 8.1479 Å, c = 6.8277 Å
α = 90.00°, β = 90.00°, γ = 90.00°
Positions (direct):
1 Cs 0.0000 0.0000 0.0000
2 Sr 0.0000 0.5000 0.0000
3 Sr 0.5000 0.0000 0.0000
4 Hg 0.5000 0.5000 0.5000
5 I 0.0000 0.0000 0.5000

Output
For the uncorrected formation energy, the calculation gives 0.21 eV/atom. As for the density of states at the Fermi level: 0.09 states/eV/atom. The density is 2.3 g/cm3. Its symmetry is P4/mmm.

***

Entry from the Alexandria database: SbAsAu2 at its PBEsol-relaxed geometry (meta-GGA SCAN).

a = 3.9370 Å, b = 3.9370 Å, c = 18.5091 Å
α = 90.00°, β = 90.00°, γ = 120.00°
Positions (direct):
1 Sb 0.0000 0.0000 0.0000
2 Sb 0.3333 0.6667 0.6667
3 Sb 0.6667 0.3333 0.3333
4 As 0.0000 0.0000 0.5000
5 As 0.3333 0.6667 0.1667
6 As 0.6667 0.3333 0.8333
7 Au 0.0000 0.0000 0.2428
8 Au 0.0000 0.0000 0.7572
9 Au 0.3333 0.6667 0.4239
10 Au 0.3333 0.6667 0.9095
11 Au 0.6667 0.3333 0.0905
12 Au 0.6667 0.3333 0.5761

Output
For the uncorrected formation energy, the calculation gives -0.06 eV/atom. As for the density of states at the Fermi level: 0.47 states/eV/atom. The density is 11.8 g/cm3. Its symmetry is R-3m. As for the distance to the lowest polymorph of the same formula: 0.00 eV per formula unit.

***

Entry from the Alexandria database: NaBeCoBi2 at its PBEsol-relaxed geometry (meta-GGA SCAN).

a = 5.0613 Å, b = 5.0613 Å, c = 4.2655 Å
α = 90.00°, β = 90.00°, γ = 90.00°
Positions (direct):
1 Na 0.0000 0.0000 0.0000
2 Be 0.5000 0.5000 0.0000
3 Co 0.5000 0.5000 0.5000
4 Bi 0.0000 0.5000 0.5000
5 Bi 0.5000 0.0000 0.5000

Output
For the calculated formation energy, the calculation gives 315 meV/atom. As for the density of states at the Fermi level: 0.70 states/eV/atom. The density is 7.7 g/cm3. Its symmetry is P4/mmm. As for the distance to the lowest polymorph of the same formula: 0.00 eV per formula unit.

***

Entry from the Alexandria database: CaNbIr3 at its PBEsol-relaxed geometry (meta-GGA SCAN).

a = 4.7700 Å, b = 4.7700 Å, c = 4.7700 Å
α = 90.00°, β = 90.00°, γ = 90.00°
Positions (direct):
1 Ca 0.0000 0.0000 0.0000
2 Nb 0.5000 0.5000 0.5000
3 Ir 0.0000 0.5000 0.5000
4 Ir 0.5000 0.0000 0.5000
5 Ir 0.5000 0.5000 0.0000

Output
For the calculated formation energy, the calculation gives 748 meV/atom. As for the density of states at the Fermi level: 0.66 states/eV/atom. The density is 10.9 g/cm3. Its symmetry is Pm-3m.

***

Entry from the Alexandria database: BaBe3Ir at its PBEsol-relaxed geometry (meta-GGA SCAN).

a = 4.4616 Å, b = 4.4616 Å, c = 4.4616 Å
α = 90.00°, β = 90.00°, γ = 90.00°
Positions (direct):
1 Ba 0.0000 0.0000 0.0000
2 Be 0.0000 0.5000 0.5000
3 Be 0.5000 0.0000 0.5000
4 Be 0.5000 0.5000 0.0000
5 Ir 0.5000 0.5000 0.5000

Output
For the calculated formation energy, the calculation gives -202 meV/atom. As for the density of states at the Fermi level: 0.43 states/eV/atom. The density is 6.7 g/cm3. Its symmetry is Pm-3m.

***

Entry from the Alexandria database: CaZnTc2 at its PBEsol-relaxed geometry (meta-GGA SCAN).

a = 2.7827 Å, b = 2.7827 Å, c = 28.4305 Å
α = 90.00°, β = 90.00°, γ = 120.00°
Positions (direct):
1 Ca 0.0000 0.0000 0.0000
2 Ca 0.3333 0.6667 0.6667
3 Ca 0.6667 0.3333 0.3333
4 Zn 0.0000 0.0000 0.5000
5 Zn 0.3333 0.6667 0.1667
6 Zn 0.6667 0.3333 0.8333
7 Tc 0.0000 0.0000 0.2422
8 Tc 0.0000 0.0000 0.7578
9 Tc 0.3333 0.6667 0.4245
10 Tc 0.3333 0.6667 0.9089
11 Tc 0.6667 0.3333 0.0911
12 Tc 0.6667 0.3333 0.5755

Output
For the calculated formation energy, the calculation gives 619 meV/atom. As for the density of states at the Fermi level: 0.69 states/eV/atom. The density is 7.9 g/cm3. Its symmetry is R-3m.

***

Entry from the Alexandria database: TiAg2AsAu at its PBEsol-relaxed geometry (meta-GGA SCAN).

a = 4.9774 Å, b = 4.9774 Å, c = 4.7502 Å
α = 90.00°, β = 90.00°, γ = 90.00°
Positions (direct):
1 Ti 0.0000 0.0000 0.0000
2 Ag 0.0000 0.5000 0.5000
3 Ag 0.5000 0.0000 0.5000
4 As 0.5000 0.5000 0.0000
5 Au 0.5000 0.5000 0.5000

Output
For the calculated formation energy, the calculation gives 715 meV/atom. As for the density of states at the Fermi level: 1.17 states/eV/atom. The density is 7.6 g/cm3. Its symmetry is P4/mmm.

***

Entry from the Alexandria database: CrSn2Pt2 at its PBEsol-relaxed geometry (meta-GGA SCAN).

a = 4.2016 Å, b = 4.2016 Å, c = 11.5663 Å
α = 90.00°, β = 90.00°, γ = 90.00°
Positions (direct):
1 Cr 0.0000 0.0000 0.0000
2 Cr 0.5000 0.5000 0.5000
3 Sn 0.0000 0.5000 0.2500
4 Sn 0.0000 0.5000 0.7500
5 Sn 0.5000 0.0000 0.2500
6 Sn 0.5000 0.0000 0.7500
7 Pt 0.0000 0.0000 0.3902
8 Pt 0.0000 0.0000 0.6098
9 Pt 0.5000 0.5000 0.1098
10 Pt 0.5000 0.5000 0.8902

Output
For the calculated formation energy, the calculation gives -85 meV/atom. As for the density of states at the Fermi level: 0.49 states/eV/atom. The density is 11.1 g/cm3. Its symmetry is I4/mmm.

***

Entry from the Alexandria database: TaAs2HBr at its PBEsol-relaxed geometry (meta-GGA SCAN).

a = 3.9482 Å, b = 3.9482 Å, c = 4.9135 Å
α = 90.00°, β = 90.00°, γ = 90.00°
Positions (direct):
1 Ta 0.0000 0.0000 0.0000
2 As 0.0000 0.5000 0.5000
3 As 0.5000 0.0000 0.5000
4 H 0.5000 0.5000 0.5000
5 Br 0.5000 0.5000 0.0000

Output
The total energy comes out at -25.168 eV/atom. As for the density of states at the Fermi level: 0.70 states/eV/atom. The density is 8.9 g/cm3. Its symmetry is P4/mmm.

***

Entry from the Alexandria database: ZrPtW2 at its PBEsol-relaxed geometry (meta-GGA SCAN).

a = 2.7591 Å, b = 4.0123 Å, c = 6.0433 Å
α = 90.00°, β = 90.00°, γ = 90.00°
Positions (direct):
1 Zr 0.0000 0.0000 0.0000
2 Pt 0.5000 0.5000 0.2474
3 W 0.0000 0.0000 0.4940
4 W 0.5000 0.5000 0.7190

Output
For the calculated formation energy, the calculation gives -74 meV/atom. As for the density of states at the Fermi level: 0.75 states/eV/atom. The density is 16.2 g/cm3. Its symmetry is Pmm2. As for the distance to the lowest polymorph of the same formula: 0.24 eV per formula unit.

***

Entry from the Alexandria database: KBaPO2 at its PBEsol-relaxed geometry (meta-GGA SCAN).

a = 4.9319 Å, b = 4.9319 Å, c = 6.2052 Å
α = 90.00°, β = 90.00°, γ = 90.00°
Positions (direct):
1 K 0.0000 0.0000 0.0000
2 Ba 0.5000 0.5000 0.5000
3 P 0.5000 0.5000 0.0000
4 O 0.0000 0.5000 0.5000
5 O 0.5000 0.0000 0.5000

Output
For the uncorrected formation energy, the calculation gives -0.38 eV/atom. As for the density of states at the Fermi level: 0.59 states/eV/atom. The density is 2.6 g/cm3. Its symmetry is P4/mmm.